DFT (PBE-GGA) results for a geometry-optimized Tm2Ge5Os3 structure.

```
Tm2Ge5Os3
1.0
-4.934 6.247 2.893
4.934 -6.247 2.893
4.934 6.247 -2.893
Tm Ge Os
4 10 6
direct
0.144 0.230 0.375
0.356 0.730 0.086
0.644 0.270 0.914
0.856 0.770 0.625
0.044 0.750 0.294
0.084 0.677 0.761
0.250 0.250 0.000
0.416 0.177 0.593
0.456 0.750 0.706
0.544 0.250 0.294
0.584 0.823 0.407
0.750 0.750 0.000
0.916 0.323 0.239
0.956 0.250 0.706
0.150 0.906 0.055
0.250 0.750 0.500
0.350 0.406 0.756
0.650 0.594 0.244
0.750 0.250 0.500
0.850 0.094 0.945
```

Results
E_form in eV per atom: -0.422
Electronic total energy in eV per atom: -6.994

=====

DFT (PBE-GGA) results for a geometry-optimized TmGe4Os2 structure.

```
TmGe4Os2
1.0
16.989 0.000 0.000
0.000 4.175 0.000
0.000 0.000 6.799
Tm Ge Os
4 16 8
direct
0.144 0.250 0.036
0.356 0.750 0.536
0.644 0.250 0.464
0.856 0.750 0.964
0.031 0.750 0.135
0.061 0.250 0.516
0.189 0.750 0.309
0.190 0.750 0.745
0.310 0.250 0.245
0.311 0.250 0.809
0.439 0.750 0.016
0.469 0.250 0.635
0.531 0.750 0.365
0.561 0.250 0.984
0.689 0.750 0.191
0.690 0.750 0.755
0.810 0.250 0.255
0.811 0.250 0.691
0.939 0.750 0.484
0.969 0.250 0.865
0.040 0.750 0.759
0.209 0.250 0.524
0.291 0.750 0.024
0.460 0.250 0.259
0.540 0.750 0.741
0.709 0.250 0.976
0.791 0.750 0.476
0.960 0.250 0.241
```

Results
E_form in eV per atom: -0.289
Electronic total energy in eV per atom: -6.774

=====

DFT (PBE-GGA) results for a geometry-optimized Tm4Ge6Os7 structure.

```
Tm4Ge6Os7
1.0
-4.163 4.163 4.163
4.163 -4.163 4.163
4.163 4.163 -4.163
Tm Ge Os
4 6 7
direct
0.000 0.000 0.500
0.000 0.500 0.000
0.500 0.000 0.000
0.500 0.500 0.500
0.000 0.310 0.310
0.000 0.690 0.690
0.310 0.000 0.310
0.310 0.310 0.000
0.690 0.000 0.690
0.690 0.690 0.000
0.000 0.000 0.000
0.250 0.500 0.750
0.250 0.750 0.500
0.500 0.250 0.750
0.500 0.750 0.250
0.750 0.250 0.500
0.750 0.500 0.250
```

Results
E_form in eV per atom: -0.435
Electronic total energy in eV per atom: -7.741

=====

DFT (PBE-GGA) results for a geometry-optimized Tm4GeOs structure.

```
Tm4GeOs
1.0
5.778 0.000 0.000
0.000 6.367 0.000
-2.698 0.000 7.885
Tm Ge Os
8 2 2
direct
0.169 0.250 0.088
0.266 0.501 0.757
0.266 0.999 0.757
0.297 0.750 0.373
0.703 0.250 0.627
0.734 0.001 0.243
0.734 0.499 0.243
0.831 0.750 0.912
0.174 0.250 0.443
0.826 0.750 0.557
0.345 0.750 0.053
0.655 0.250 0.947
```

Results
E_form in eV per atom: -0.458
Electronic total energy in eV per atom: -6.081

=====

Question: E_form of number 1 (Tm2Ge5Os3)?
Answer: -0.422 eV per atom

=====

Question: Which of these has the highest electronic total energy?
Answer: Tm4GeOs

=====

Question: What is the E_form in the fourth record?
Answer: -0.458 eV per atom